--- i ---
Density functional theory data (PBE-GGA) for BaZrC2 after structural relaxation.

Computed properties:
density	6.3	g cm⁻³
total magnetization	0.072	μB per atom

Cell: 6.437 6.437 6.437 Å, 90.00 90.00 90.00°
Space group Fm-3m (No. 225)
Unique sites:
Ba 0.000 0.000 0.000 [4 per cell]
Zr 0.000 0.000 0.500 [4 per cell]
C 0.250 0.250 0.250 [8 per cell]

--- ii ---
Density functional theory data (PBE-GGA) for BaZrC2 after structural relaxation.

Computed properties:
density	4.5	g cm⁻³
total magnetization	0.000	μB per atom

Cell: 5.907 5.907 10.609 Å, 90.00 90.00 90.00°
Space group I-42d (No. 122)
Unique sites:
Ba 0.000 0.000 0.000 [4 per cell]
Zr 0.000 0.000 0.500 [4 per cell]
C 0.151 0.250 0.625 [8 per cell]

Stability check: which of them is most stable? ii.

--- i ---
Density functional theory data (PBE-GGA) for BaZr3C after structural relaxation.

Computed properties:
density	6.3	g cm⁻³
total magnetization	0.000	μB per atom

Cell: 4.803 4.803 4.803 Å, 90.00 90.00 90.00°
Space group Pm-3m (No. 221)
Unique sites:
Ba 0.000 0.000 0.000 [1 per cell]
Zr 0.000 0.500 0.500 [3 per cell]
C 0.500 0.500 0.500 [1 per cell]

--- ii ---
Density functional theory data (PBE-GGA) for BaZr3C after structural relaxation.

Computed properties:
density	4.8	g cm⁻³
total magnetization	0.337	μB per atom

Cell: 5.256 5.256 5.256 Å, 90.00 90.00 90.00°
Space group Pm-3m (No. 221)
Unique sites:
Ba 0.000 0.000 0.000 [1 per cell]
Zr 0.000 0.000 0.500 [3 per cell]
C 0.500 0.500 0.500 [1 per cell]

Stability check: which of them is most stable? i.

--- i ---
Density functional theory data (PBE-GGA) for BaCa4 after structural relaxation.

Computed properties:
density	2.0	g cm⁻³
total magnetization	0.424	μB per atom

Cell: 6.274 6.274 6.274 Å, 90.00 90.00 90.00°
Space group Pm-3m (No. 221)
Unique sites:
Ba 0.000 0.000 0.000 [1 per cell]
Ca 0.000 0.000 0.500 [3 per cell]
Ca 0.500 0.500 0.500 [1 per cell]

--- ii ---
Density functional theory data (PBE-GGA) for BaCa4 after structural relaxation.

Computed properties:
density	2.0	g cm⁻³
total magnetization	0.000	μB per atom

Cell: 12.600 12.600 12.600 Å, 90.00 90.00 90.00°
Space group I-43m (No. 217)
Unique sites:
Ba 0.210 0.210 0.790 [8 per cell]
Ca 0.000 0.000 0.350 [12 per cell]
Ca 0.000 0.250 0.500 [12 per cell]
Ca 0.107 0.107 0.107 [8 per cell]

Stability check: which of them is most stable? ii.

--- i ---
Density functional theory data (PBE-GGA) for Ba3Ca after structural relaxation.

Computed properties:
density	3.3	g cm⁻³
total magnetization	0.000	μB per atom

Cell: 4.212 6.851 8.001 Å, 90.00 99.81 90.00°
Space group P2/m (No. 10)
Unique sites:
Ba 0.000 0.000 0.000 [1 per cell]
Ba 0.252 0.500 0.744 [2 per cell]
Ca 0.500 0.000 0.500 [1 per cell]

--- ii ---
Density functional theory data (PBE-GGA) for Ba3Ca after structural relaxation.

Computed properties:
density	3.2	g cm⁻³
total magnetization	0.000	μB per atom

Cell: 6.117 6.117 24.927 Å, 90.00 90.00 90.00°
Space group I4/mmm (No. 139)
Unique sites:
Ba 0.000 0.000 0.124 [4 per cell]
Ba 0.000 0.500 0.000 [4 per cell]
Ba 0.000 0.500 0.250 [4 per cell]
Ca 0.000 0.000 0.374 [4 per cell]

--- iii ---
Density functional theory data (PBE-GGA) for Ba3Ca after structural relaxation.

Computed properties:
density	3.3	g cm⁻³
total magnetization	0.000	μB per atom

Cell: 4.3282 4.3282 14.2017 Å, 90.00 90.00 120.00°
Space group P-6m2 (No. 187)
Unique sites:
Ba 0.0000 0.0000 0.0000 [1 per cell]
Ba 0.3333 0.6667 0.2605 [2 per cell]
Ca 0.0000 0.0000 0.5000 [1 per cell]

Stability check: which of them is most stable? i.

--- i ---
Density functional theory data (PBE-GGA) for Ba3Ca after structural relaxation.

Computed properties:
density	3.3	g cm⁻³
total magnetization	0.000	μB per atom

Cell: 5.103 6.744 13.361 Å, 90.00 90.00 90.00°
Space group Cmmm (No. 65)
Unique sites:
Ba 0.000 0.000 0.000 [2 per cell]
Ba 0.000 0.500 0.264 [4 per cell]
Ca 0.000 0.000 0.500 [2 per cell]

--- ii ---
Density functional theory data (PBE-GGA) for Ba3Ca after structural relaxation.

Computed properties:
density	3.2	g cm⁻³
total magnetization	0.000	μB per atom

Cell: 6.171 6.171 6.171 Å, 90.00 90.00 90.00°
Space group Pm-3m (No. 221)
Unique sites:
Ba 0.000 0.000 0.500 [3 per cell]
Ca 0.500 0.500 0.500 [1 per cell]

--- iii ---
Density functional theory data (PBE-GGA) for Ba3Ca after structural relaxation.

Computed properties:
density	3.2	g cm⁻³
total magnetization	0.000	μB per atom

Cell: 4.3363 4.3363 42.6491 Å, 90.00 90.00 120.00°
Space group R-3m (No. 166, hexagonal axes)
Unique sites:
Ba 0.0000 0.0000 0.0000 [3 per cell]
Ba 0.0000 0.0000 0.2452 [6 per cell]
Ca 0.0000 0.0000 0.5000 [3 per cell]

--- iv ---
Density functional theory data (PBE-GGA) for Ba3Ca after structural relaxation.

Computed properties:
density	3.3	g cm⁻³
total magnetization	0.000	μB per atom

Cell: 4.329 7.086 7.475 Å, 90.00 90.00 90.00°
Space group Pmm2 (No. 25)
Unique sites:
Ba 0.000 0.000 0.000 [1 per cell]
Ba 0.000 0.500 0.338 [1 per cell]
Ba 0.500 0.500 0.830 [1 per cell]
Ca 0.500 0.000 0.499 [1 per cell]

Stability check: which of them is most stable? i.

--- i ---
Density functional theory data (PBE-GGA) for Ba2Ca after structural relaxation.

Computed properties:
density	3.2	g cm⁻³
total magnetization	0.000	μB per atom

Cell: 6.8606 6.8606 4.0554 Å, 90.00 90.00 120.00°
Space group P6/mmm (No. 191)
Unique sites:
Ba 0.3333 0.6667 0.0000 [2 per cell]
Ca 0.0000 0.0000 0.5000 [1 per cell]

--- ii ---
Density functional theory data (PBE-GGA) for Ba2Ca after structural relaxation.

Computed properties:
density	3.1	g cm⁻³
total magnetization	0.000	μB per atom

Cell: 4.129 4.129 39.825 Å, 90.00 90.00 90.00°
Space group I4_1/amd (No. 141, origin choice 2)
Unique sites:
Ba 0.000 0.250 0.297 [8 per cell]
Ca 0.000 0.250 0.875 [4 per cell]

--- iii ---
Density functional theory data (PBE-GGA) for Ba2Ca after structural relaxation.

Computed properties:
density	2.6	g cm⁻³
total magnetization	0.179	μB per atom

Cell: 6.787 6.787 4.380 Å, 90.00 90.00 90.00°
Space group P4/mmm (No. 123)
Unique sites:
Ba 0.000 0.500 0.000 [2 per cell]
Ca 0.000 0.000 0.500 [1 per cell]

Stability check: which of them is most stable? i.

--- i ---
Density functional theory data (PBE-GGA) for Ba2Ca after structural relaxation.

Computed properties:
density	3.1	g cm⁻³
total magnetization	0.000	μB per atom

Cell: 11.7674 11.7674 4.2177 Å, 90.00 90.00 120.00°
Space group P-62m (No. 189)
Unique sites:
Ba 0.0000 0.3063 0.0000 [3 per cell]
Ba 0.0000 0.6412 0.5000 [3 per cell]
Ca 0.0000 0.0000 0.5000 [1 per cell]
Ca 0.3333 0.6667 0.0000 [2 per cell]

--- ii ---
Density functional theory data (PBE-GGA) for Ba2Ca after structural relaxation.

Computed properties:
density	3.0	g cm⁻³
total magnetization	0.044	μB per atom

Cell: 17.822 17.822 17.822 Å, 90.00 90.00 90.00°
Space group Fd-3m (No. 227, origin choice 2)
Unique sites:
Ba 0.000 0.000 0.000 [16 per cell]
Ba 0.068 0.375 0.875 [48 per cell]
Ca 0.044 0.044 0.206 [32 per cell]

--- iii ---
Density functional theory data (PBE-GGA) for Ba2Ca after structural relaxation.

Computed properties:
density	2.9	g cm⁻³
total magnetization	0.000	μB per atom

Cell: 9.778 9.778 7.524 Å, 90.00 90.00 90.00°
Space group I4/mcm (No. 140)
Unique sites:
Ba 0.160 0.340 0.000 [8 per cell]
Ca 0.000 0.000 0.250 [4 per cell]

Stability check: which of them is most stable? i.

--- i ---
Density functional theory data (PBE-GGA) for Ba2Ca after structural relaxation.

Computed properties:
density	3.1	g cm⁻³
total magnetization	0.000	μB per atom

Cell: 6.8864 6.8864 8.2403 Å, 90.00 90.00 120.00°
Space group P6_3/mmc (No. 194)
Unique sites:
Ba 0.0000 0.0000 0.0000 [2 per cell]
Ba 0.3333 0.6667 0.2500 [2 per cell]
Ca 0.3333 0.6667 0.7500 [2 per cell]

--- ii ---
Density functional theory data (PBE-GGA) for Ba2Ca after structural relaxation.

Computed properties:
density	3.1	g cm⁻³
total magnetization	0.000	μB per atom

Cell: 8.422 6.371 12.590 Å, 90.00 90.00 90.00°
Space group Pnma (No. 62)
Unique sites:
Ba 0.094 0.250 0.241 [4 per cell]
Ba 0.146 0.250 0.580 [4 per cell]
Ca 0.141 0.250 0.916 [4 per cell]

Stability check: which of them is most stable? ii.